Entry 1:
Cs2CaMgAs2: optimized geometry, PBE.

Structure (POSCAR):
```
Cs2CaMgAs2
1.0
-3.199 6.257 -0.247
-6.230 -3.212 -0.687
3.844 -1.635 8.891
Cs Ca Mg As
4 2 2 4
Direct
0.445 0.180 0.359
0.555 0.820 0.641
0.086 0.320 0.641
0.914 0.680 0.359
0.000 0.750 0.000
0.000 0.250 0.000
0.500 0.750 0.000
0.500 0.250 0.000
0.816 0.085 0.170
0.354 0.585 0.170
0.646 0.415 0.830
0.184 0.915 0.830
```

ΔH_f (0 K): -0.76 eV per atom
final energy: -3.192 eV/atom
mass density: 3.80 Mg/m³

=====

Entry 2:
Sn3Bi3I: optimized geometry, PBE.

Structure (POSCAR):
```
Sn3Bi3I
1.0
8.510 0.000 0.000
0.000 8.510 0.000
0.000 0.000 8.510
I Bi Sn
2 6 6
Direct
0.500 0.500 0.500
0.000 0.000 0.000
0.250 0.000 0.500
0.000 0.500 0.250
0.500 0.750 0.000
0.750 0.000 0.500
0.000 0.500 0.750
0.500 0.250 0.000
0.000 0.250 0.500
0.000 0.750 0.500
0.500 0.000 0.750
0.750 0.500 0.000
0.500 0.000 0.250
0.250 0.500 0.000
```

final energy: -3.457 eV/atom
mass density: 5.98 Mg/m³

=====

Entry 3:
AlCdAs2: optimized geometry, PBE.

Structure (POSCAR):
```
AlCdAs2
1.0
6.688 1.050 -0.466
4.059 5.418 0.466
-5.194 -3.532 2.568
As Al Cd
2 1 1
Direct
0.940 0.940 0.000
0.724 0.224 0.500
0.288 0.788 0.500
0.548 0.548 0.000
```

ΔH_f (0 K): 0.07 eV per atom
polymorph energy (0 for the lowest one): 203 meV per atom
final energy: -3.424 eV/atom
mass density: 5.71 Mg/m³

=====

Entry 4:
Nd2AlIn3: optimized geometry, PBE.

Structure (POSCAR):
```
Nd2AlIn3
1.0
-5.728 0.592 -2.222
1.628 -5.733 -1.608
-1.073 -0.355 9.185
Nd Al In
4 2 6
Direct
0.250 0.750 0.500
0.752 0.752 0.000
0.750 0.250 0.500
0.248 0.248 0.000
0.667 0.667 0.333
0.333 0.333 0.667
0.341 0.829 0.170
0.171 0.659 0.830
0.659 0.171 0.830
0.829 0.341 0.170
0.170 0.170 0.340
0.830 0.830 0.660
```

ΔH_f (0 K): -0.45 eV per atom
polymorph energy (0 for the lowest one): 6 meV per atom
final energy: -4.037 eV/atom
mass density: 7.02 Mg/m³

=====

- Look up the final energy of the third one.
  -3.424 eV/atom